[1]
VASP calculation (GGA-PBE) on a relaxed Pu2BePd6Au crystal.

Structure (POSCAR):
```
Pu2BePd6Au
1.0
5.439 0.000 0.000
2.087 5.370 0.000
1.352 0.796 6.347
Pu Be Pd Au
2 1 6 1
direct
0.141 0.349 0.270
0.859 0.651 0.730
0.000 0.000 0.000
0.097 0.866 0.320
0.317 0.676 0.887
0.341 0.178 0.851
0.659 0.822 0.149
0.683 0.324 0.113
0.903 0.134 0.680
0.500 0.500 0.500
```

Properties
SG: P-1 (2)
Magnetic moment: 10.4 μB/cell
Calculated density: 11.94 g/cm3
Uncorrected energy: -70.34 eV per cell
Calculated volume: 18.54 A^3/atom
DOS(E_F): 30.195 states/eV per cell
Crystal system: triclinic



[2]
VASP calculation (GGA-PBE) on a relaxed Sc2Be2Pd5Au crystal.

Structure (POSCAR):
```
Sc2Be2Pd5Au
1.0
9.304 0.000 0.000
0.000 9.304 0.000
0.000 0.000 3.513
Sc Be Pd Au
4 4 10 2
direct
0.178 0.322 0.000
0.322 0.822 0.000
0.678 0.178 0.000
0.822 0.678 0.000
0.120 0.620 0.000
0.380 0.120 0.000
0.620 0.880 0.000
0.880 0.380 0.000
0.000 0.500 0.500
0.073 0.785 0.500
0.215 0.073 0.500
0.285 0.573 0.500
0.427 0.285 0.500
0.500 0.000 0.500
0.573 0.715 0.500
0.715 0.427 0.500
0.785 0.927 0.500
0.927 0.215 0.500
0.000 0.000 0.000
0.500 0.500 0.000
```

Properties
SG: P4/mbm (127)
Magnetic moment: 0.0 μB/cell
Calculated density: 9.14 g/cm3
Uncorrected energy: -112.44 eV per cell
Calculated volume: 15.20 A^3/atom
DOS(E_F): 4.556 states/eV per cell
Crystal system: tetragonal



[3]
VASP calculation (GGA-PBE) on a relaxed SmBe2Pd2Au crystal.

Structure (POSCAR):
```
SmBe2Pd2Au
1.0
4.301 0.000 0.000
0.000 4.301 0.000
0.000 0.000 5.672
Sm Be Pd Au
1 2 2 1
direct
0.000 0.000 0.000
0.000 0.500 0.500
0.500 0.000 0.500
0.500 0.500 0.252
0.500 0.500 0.748
0.000 0.000 0.500
```

Properties
SG: P4/mmm (123)
Magnetic moment: 0.0 μB/cell
Calculated density: 9.15 g/cm3
Uncorrected energy: -27.67 eV per cell
Calculated volume: 17.48 A^3/atom
DOS(E_F): 3.260 states/eV per cell
Crystal system: tetragonal



Q: Which of these has the highest uncorrected energy?
A: SmBe2Pd2Au